(1)
Compound: HoTh2Co2
Source: Alexandria via LeMat-Bulk
Functional: PBE
Structure: optimized geometry

The structure in POSCAR format:
```
HoTh2Co2
1.0
5.956 -0.277 -1.335
-1.536 5.761 -1.335
-2.705 -3.356 5.022
Ho Th Co
1 2 2
Cartesian
0.000 0.000 0.000 Ho
-1.509 2.972 1.176 Th
3.225 -0.844 1.176 Th
1.695 2.102 -0.376 Co
0.021 0.026 2.727 Co
```

Computed properties:
V = 22.96 A^3/atom
E_form = -0.193 eV per atom
distance to the lowest polymorph of the same formula = 49 meV per atom



(2)
Compound: HoTh2Co
Source: Alexandria via LeMat-Bulk
Functional: PBE
Structure: optimized geometry

The structure in POSCAR format:
```
HoTh2Co
1.0
-3.349 1.451 -0.739
-3.075 -1.671 1.273
-1.629 5.392 8.590
Co Ho Th
1 1 2
Cartesian
-4.026 2.586 4.562 Co
0.000 0.000 0.000 Ho
-1.802 3.542 5.743 Th
-6.250 1.629 3.381 Th
```

Computed properties:
V = 30.16 A^3/atom
E_form = 0.137 eV per atom
distance to the lowest polymorph of the same formula = 319 meV per atom